Entry 1:
Ho3ZrOs | PBE | optimized geometry

abc: 3.4329 14.5081 14.5081
angles: 20.79 90.00 90.00
Fractional positions:
Ho  0.0000  0.5587  0.5587
Ho  0.5000  0.0635  0.0635
Ho  0.5000  0.7894  0.7894
Ho  0.0000  0.4448  0.4448
Ho  0.5000  0.9399  0.9399
Ho  0.5000  0.2140  0.2140
Zr  0.5000  0.6502  0.6502
Zr  0.5000  0.3532  0.3532
Os  0.0000  0.8646  0.8646
Os  0.0000  0.1388  0.1388

V: 25.6 Å³/atom
raw total energy: -0.48254 Ry/atom
ΔH_f (0 K): 0.7 eV per formula unit


Entry 2:
Rb4HfGa | PBE | optimized geometry

abc: 9.9571 9.9571 3.5832
angles: 90.00 90.00 91.31
Site moments in Bohr magnetons follow the coordinates.
Fractional positions:
Hf  0.5000  0.5000  0.0000  1.35
Rb  0.7693  0.7693  0.0000  0.02
Rb  0.2307  0.2307  0.0000  0.02
Rb  0.2534  0.7466  0.5000  0.02
Rb  0.7466  0.2534  0.5000  0.02
Ga  0.0000  0.0000  0.5000  -0.03

V: 59.2 Å³/atom
raw total energy: -0.14571 Ry/atom


Entry 3:
PuCo | PBE | optimized geometry

abc: 4.8133 4.8133 4.8133
angles: 34.41 34.41 34.41
Fractional positions:
Co  0.0000  0.0000  0.0000
Pu  0.5000  0.5000  0.5000

V: 15.9 Å³/atom
raw total energy: -0.74948 Ry/atom
ΔH_f (0 K): 0.8 eV per formula unit


Entry 4:
BaZnO3 | PBE | optimized geometry

abc: 4.1124 4.1124 4.8158
angles: 90.00 90.00 90.00
Fractional positions:
O  0.0000  0.5000  0.0762
O  0.5000  0.0000  0.0762
O  0.5000  0.5000  0.0817
Ba  0.5000  0.5000  0.5833
Zn  0.0000  0.0000  0.0827

V: 16.3 Å³/atom
raw total energy: -0.31952 Ry/atom


Entry 5:
LiHfMo2 | PBE | optimized geometry

abc: 4.5190 4.5190 4.5190
angles: 60.00 60.00 60.00
Fractional positions:
Hf  0.2500  0.2500  0.2500
Mo  0.7500  0.7500  0.7500
Mo  0.0000  0.0000  0.0000
Li  0.5000  0.5000  0.5000

V: 16.3 Å³/atom
raw total energy: -0.60396 Ry/atom


Entry 6:
TbH3O3 | PBE | optimized geometry

abc: 6.2315 6.2315 3.5365
angles: 90.00 90.00 120.00
Fractional positions:
H  0.2731  0.1335  0.7500
H  0.8604  0.7269  0.7500
H  0.8665  0.1396  0.7500
H  0.7269  0.8665  0.2500
H  0.1396  0.2731  0.2500
H  0.1335  0.8604  0.2500
O  0.0826  0.3928  0.2500
O  0.3102  0.9174  0.2500
O  0.6072  0.6898  0.2500
O  0.3928  0.3102  0.7500
O  0.6898  0.0826  0.7500
O  0.9174  0.6072  0.7500
Tb  0.6667  0.3333  0.2500
Tb  0.3333  0.6667  0.7500

V: 8.5 Å³/atom
raw total energy: -0.45406 Ry/atom


Entry 7:
ErAgW | PBE | optimized geometry

abc: 4.7084 4.7084 4.7084
angles: 60.00 60.00 60.00
Fractional positions:
Ag  0.2500  0.2500  0.2500
Er  0.0000  0.0000  0.0000
W  0.7500  0.7500  0.7500

V: 24.6 Å³/atom
raw total energy: -0.38886 Ry/atom
ΔH_f (0 K): 4.5 eV per formula unit


Entry 8:
ErHfSnC | PBE | optimized geometry

abc: 3.4385 3.4385 15.1114
angles: 90.00 90.00 120.00
Fractional positions:
Hf  0.3333  0.6667  0.3415
Hf  0.3333  0.6667  0.6585
Sn  0.6667  0.3333  0.5000
Sn  0.3333  0.6667  0.0000
Er  0.6667  0.3333  0.1724
Er  0.6667  0.3333  0.8276
C  0.0000  0.0000  0.7323
C  0.0000  0.0000  0.2677

V: 19.3 Å³/atom
raw total energy: -0.56045 Ry/atom
E above lowest polymorph: 9 meV per atom


Entry 9:
FeHgGeTe3 | PBE | optimized geometry

abc: 8.6283 8.6283 10.0319
angles: 90.00 90.00 25.51
Site moments in Bohr magnetons follow the coordinates.
Fractional positions:
Te  0.3978  0.3978  0.4752  0.00
Te  0.0334  0.0334  0.2500  -0.01
Te  0.6022  0.6022  0.5248  0.00
Te  0.6022  0.6022  0.9752  -0.01
Te  0.9666  0.9666  0.7500  -0.01
Te  0.3978  0.3978  0.0248  -0.01
Fe  0.0000  0.0000  0.5000  0.81
Fe  0.0000  0.0000  0.0000  0.84
Ge  0.3433  0.3433  0.7500  0.01
Ge  0.6567  0.6567  0.2500  0.01
Hg  0.7178  0.7178  0.7500  0.00
Hg  0.2822  0.2822  0.2500  0.00

V: 26.8 Å³/atom
raw total energy: -0.27697 Ry/atom
E above lowest polymorph: 0 meV per atom


Entry 10:
PrNbBi | PBE | optimized geometry

abc: 5.0233 5.0233 5.0233
angles: 60.00 60.00 60.00
Site moments in Bohr magnetons follow the coordinates.
Fractional positions:
Nb  0.2500  0.2500  0.2500  0.36
Bi  0.0000  0.0000  0.0000  -0.01
Pr  0.7500  0.7500  0.7500  -0.02

V: 29.9 Å³/atom
raw total energy: -0.43843 Ry/atom


Entry 11:
Te2MoSe2I | PBE | optimized geometry

abc: 6.6283 8.3779 8.5374
angles: 114.57 104.21 98.33
Fractional positions:
Se  0.4824  0.8013  0.0601
Se  0.9602  0.1083  0.8130
Se  0.5176  0.1987  0.9399
Se  0.0398  0.8917  0.1870
I  0.7399  0.5922  0.4150
I  0.2601  0.4078  0.5850
Te  0.1130  0.3157  0.1751
Te  0.3814  0.8648  0.7021
Te  0.8870  0.6843  0.8249
Te  0.6186  0.1352  0.2979
Mo  0.7795  0.9999  0.0002
Mo  0.2205  0.0001  0.9998

V: 33.4 Å³/atom
raw total energy: -0.33774 Ry/atom
E above lowest polymorph: 0 meV per atom


Entry 12:
DyHoPbN | PBE | optimized geometry

abc: 3.5379 3.5379 15.5671
angles: 90.00 90.00 120.00
Fractional positions:
Pb  0.3333  0.6667  0.5000
Pb  0.0000  0.0000  0.0000
Dy  0.3333  0.6667  0.8334
Dy  0.3333  0.6667  0.1666
Ho  0.0000  0.0000  0.3332
Ho  0.0000  0.0000  0.6668
N  0.6667  0.3333  0.2511
N  0.6667  0.3333  0.7489

V: 21.1 Å³/atom
raw total energy: -0.47090 Ry/atom